First-principles (PBE) data for a geometry-optimized LuHfCuMo structure, as listed in the Alexandria database.

Results
- DFT total energy: -7.35 eV/atom

a = 6.672 Å, b = 6.672 Å, c = 6.672 Å
α = 90.00°, β = 90.00°, γ = 90.00°
Space group F-43m (No. 216)
Symmetry-distinct sites (fractional):
Lu 0.000 0.000 0.000 (multiplicity 4)
Hf 0.000 0.000 0.500 (multiplicity 4)
Cu 0.250 0.250 0.250 (multiplicity 4)
Mo 0.250 0.250 0.750 (multiplicity 4)

=====

First-principles (PBE) data for a geometry-optimized LuHfCuNi structure, as listed in the Alexandria database.

Results
- DFT total energy: -6.38 eV/atom

a = 6.547 Å, b = 6.547 Å, c = 6.547 Å
α = 90.00°, β = 90.00°, γ = 90.00°
Space group F-43m (No. 216)
Symmetry-distinct sites (fractional):
Lu 0.000 0.000 0.000 (multiplicity 4)
Hf 0.000 0.000 0.500 (multiplicity 4)
Cu 0.250 0.250 0.250 (multiplicity 4)
Ni 0.250 0.250 0.750 (multiplicity 4)